[1]
12
Lattice="2.924 -4.978 0.000 2.924 4.978 0.000 -1.869 0.000 5.643" Properties=species:S:1:pos:R:3 comment="PBE Na3Sm2RuO6, optimized geometry" dft_energy_ev_per_atom=-6.450 sg="No. 12" pbc="T T T"
Na 0.000 0.000 0.000
Na 2.924 1.534 0.000
Na 2.924 -1.534 0.000
Sm 1.989 3.278 2.822
Sm 1.989 -3.278 2.822
Ru 1.989 0.000 2.822
O 1.045 1.541 1.569
O 0.214 0.000 3.997
O 1.045 -1.541 1.569
O 2.933 1.541 4.075
O 3.764 0.000 1.647
O 2.933 -1.541 4.075

[2]
10
Lattice="-3.950 3.950 5.570 3.950 -3.950 5.570 3.950 3.950 -5.570" Properties=species:S:1:pos:R:3 comment="PBE Rb2IrRhI6, optimized geometry" dft_energy_ev_per_atom=-3.176 sg="No. 139" pbc="T T T"
Rb 3.950 0.000 2.785
Rb 0.000 3.950 2.785
Ir 0.000 0.000 0.000
Rh 0.000 0.000 5.570
I 0.000 0.000 2.764
I 1.955 1.955 0.000
I 1.994 -1.994 5.570
I -1.994 1.994 5.570
I 0.000 0.000 8.377
I 1.994 1.994 5.570